[1]
AlSiRu2 | GGA-PBE | relaxed

The structure belongs to space group P4/mmm (No. 123); the cell edges are 2.957, 2.957 and 5.955 Å and the angles 90.00°, 90.00° and 90.00°. The distinct sites, in fractional coordinates, are Al at (0.000, 0.000, 0.000), Si at (0.000, 0.000, 0.500) and Ru at (0.500, 0.500, 0.263).

Its crystal system is tetragonal. As for the calculated volume: 13.0 Å³ per atom. The polymorph energy (0 for the lowest one) comes out at 0.000 eV/atom. The raw formation energy is -715 meV per atom.


[2]
SrReMo2 | GGA-PBE | relaxed

The structure belongs to space group Cmmm (No. 65); the cell edges are 3.295, 4.633 and 9.824 Å and the angles 90.00°, 90.00° and 90.00°. The distinct sites, in fractional coordinates, are Sr at (0.000, 0.000, 0.000), Re at (0.000, 0.000, 0.500) and Mo at (0.000, 0.500, 0.290).

Its crystal system is orthorhombic. As for the calculated volume: 18.7 Å³ per atom. The formation energy is 757 meV per atom. The polymorph energy (0 for the lowest one) comes out at 0.082 eV/atom.